Density functional theory data (GGA-PBE) for a relaxed structure of Sb2TeRh.

Geometry as POSCAR:
```
Sb2TeRh
1.0
3.1996 0.0000 0.0000
0.0000 3.1996 0.0000
0.0000 0.0000 9.3952
Sb Te Rh
2 1 1
Direct
0.0000 0.0000 0.9386 Sb
0.5000 0.5000 0.2357 Sb
0.0000 0.0000 0.5687 Te
0.5000 0.5000 0.7571 Rh
```

- uncorrected formation energy (kJ/mol of atoms) = 0.1